Version A
VASP calculation (PBE-GGA) on a relaxed TiSiOF2 crystal.

The structure belongs to space group P4/mmm (No. 123); the cell edges are 4.422, 4.422 and 3.427 Å and the angles 90.00°, 90.00° and 90.00°. The distinct sites, in fractional coordinates, are Ti at (0.000, 0.000, 0.000), Si at (0.500, 0.500, 0.500), O at (0.500, 0.500, 0.000) and F at (0.000, 0.500, 0.500).

For the density of states at the Fermi level, the calculation gives 4.0 states/eV/cell. The calculation puts the magnetic moment at 2.649 μB/f.u. The crystal system is tetragonal.

***

Version B
VASP calculation (PBE-GGA) on a relaxed TiSiOF2 crystal.

The structure belongs to space group P4/mmm (No. 123); the cell edges are 4.133, 4.133 and 3.838 Å and the angles 90.00°, 90.00° and 90.00°. The distinct sites, in fractional coordinates, are Ti at (0.000, 0.000, 0.000), Si at (0.500, 0.500, 0.500), O at (0.000, 0.000, 0.500) and F at (0.000, 0.500, 0.000).

For the density of states at the Fermi level, the calculation gives 4.5 states/eV/cell. The calculation puts the magnetic moment at 0.000 μB/f.u. The crystal system is tetragonal.

***

Energy relative to the most stable one, in kJ/mol of atoms: version A 47.1; version B 0.0